Record 1
Computed, not measured: an optimized crystal structure of PrHfCu2 at the PBE level of DFT.

Summary:
Polymorph energy (0 for the lowest one) (eV/atom): 0.000
Symmetry: P4/mmm, No. 123
Energy of formation from the pure elements (eV per atom): -0.095

The structure in POSCAR format:
```
PrHfCu2
1.0
-3.2326 -0.9477 -0.2858
0.6030 -1.1111 -3.1355
1.6328 -6.3421 2.5614
Pr Cu Hf
1 2 1
Cartesian
-0.4984 -4.2004 -0.4299
1.3169 -5.1152 2.0659
0.3159 -1.2269 0.4955
-1.3148 -1.0294 -1.7107
```

---

Record 2
Computed, not measured: an optimized crystal structure of PrHf2Cu9 at the PBE level of DFT.

Summary:
Symmetry: R-3m, No. 166
Energy of formation from the pure elements (eV per atom): -0.120

The structure in POSCAR format:
```
PrHf2Cu9
1.0
-3.2088 -3.1533 2.4425
-2.1644 -3.8993 -2.5131
4.4499 -7.1261 2.0105
Cu Pr Hf
9 1 2
Cartesian
-1.7733 -2.3645 -0.0178
1.7760 -7.8552 0.2311
-2.1756 -6.6976 -0.7759
0.8500 -11.8142 1.9576
-0.4616 -7.0894 0.9699
-2.6992 -6.3235 1.7088
0.1671 -9.4363 1.4557
1.2523 -7.4811 2.7158
-1.0904 -4.7424 0.4841
0.0000 0.0000 0.0000
-2.5134 -9.2408 0.8614
1.5901 -4.9380 1.0785
```

---

Record 3
Computed, not measured: an optimized crystal structure of PrHfCu4 at the PBE level of DFT.

Summary:
Symmetry: F-43m, No. 216
Energy of formation from the pure elements (eV per atom): 0.014

The structure in POSCAR format:
```
PrHfCu4
1.0
-1.6898 -0.1508 -4.9245
-3.4860 -3.5888 -1.4484
-4.8847 1.4178 -1.1217
Pr Cu Hf
1 4 1
Cartesian
0.0000 0.0000 0.0000
-6.2769 -1.4486 -4.6760
-4.5491 0.3302 -3.9581
-5.4393 -1.3738 -2.2351
-3.8558 -2.1513 -4.1200
-2.5151 -0.5804 -1.8737
```

---

Record 4
Computed, not measured: an optimized crystal structure of Pr2HfCuS5 at the PBE level of DFT.

Summary:
Formation energy from raw total energies (eV per atom): -1.6207
Symmetry: Cmc2_1, No. 36

The structure in POSCAR format:
```
Pr2HfCuS5
1.0
3.8278 0.0000 0.0000
-1.9139 8.3448 0.0000
0.0000 0.0000 11.6743
S Hf Pr Cu
10 2 4 2
Cartesian
1.9139 3.4563 1.9554
0.0000 8.2829 8.9893
0.0000 5.1092 4.2364
1.9139 7.6156 6.3587
0.0000 4.8885 7.7925
1.9139 0.0619 3.1521
1.9139 3.2356 10.0735
1.9139 2.5482 5.9476
0.0000 5.7966 0.1105
0.0000 0.7292 0.5215
1.9139 5.1925 6.0267
0.0000 3.1523 0.1896
0.0000 2.0956 3.7332
0.0000 1.9216 8.1004
1.9139 6.4232 2.2633
1.9139 6.2492 9.5704
0.0000 7.2985 5.1315
1.9139 1.0462 10.9686
```

---

Record 5
Computed, not measured: an optimized crystal structure of Pr2HfCuSe5 at the PBE level of DFT.

Summary:
Formation energy from raw total energies (eV per atom): -1.4297
Symmetry: Cmc2_1, No. 36

The structure in POSCAR format:
```
Pr2HfCuSe5
1.0
3.9912 0.0000 0.0000
-1.9956 8.8367 0.0000
0.0000 0.0000 12.0704
Se Pr Hf Cu
10 4 2 2
Cartesian
0.0000 8.7985 9.3409
0.0000 6.1427 0.0861
0.0000 5.3656 4.3211
1.9956 0.0381 3.3057
0.0000 5.1217 8.0633
1.9956 8.0319 6.6464
1.9956 3.7149 2.0282
0.0000 0.8048 0.6112
1.9956 3.4710 10.3563
1.9956 2.6939 6.1213
1.9956 6.8071 2.3492
0.0000 2.2117 3.7886
0.0000 2.0296 8.3844
1.9956 6.6250 9.8238
1.9956 5.5032 6.2146
0.0000 3.3334 0.1794
0.0000 7.6020 5.3464
1.9956 1.2346 11.3816
```

---

Record 6
Computed, not measured: an optimized crystal structure of Hf2CuPt3 at the PBE level of DFT.

Summary:
Symmetry: Ibam, No. 72
Energy of formation from the pure elements (eV per atom): -0.629

The structure in POSCAR format:
```
Hf2CuPt3
1.0
7.1322 0.0000 0.0000
0.0000 5.4670 0.0000
-3.5661 -2.7335 6.2094
Hf Pt Cu
4 6 2
Cartesian
1.1999 0.0000 4.2285
4.7660 0.0000 1.9809
2.3661 2.7335 1.9809
-1.1999 2.7335 4.2285
3.5661 1.3668 0.0000
3.5661 4.1003 0.0000
0.0000 4.1003 2.2413
3.5661 1.3667 3.9681
0.0000 1.3668 2.2413
3.5661 -1.3668 3.9681
0.0000 2.7335 0.0000
0.0000 0.0000 0.0000
```

---

Record 7
Computed, not measured: an optimized crystal structure of HfCuPt3 at the PBE level of DFT.

Summary:
Polymorph energy (0 for the lowest one) (eV/atom): 0.377
Symmetry: P6_3/mmc, No. 194
Energy of formation from the pure elements (eV per atom): -0.454

The structure in POSCAR format:
```
HfCuPt3
1.0
-4.3171 -1.8357 0.3098
1.8002 -4.8801 -3.8309
0.6738 -0.5038 6.4049
Pt Cu Hf
6 2 2
Cartesian
-0.2420 -2.4694 -0.1679
0.5002 -4.4814 -1.7477
-2.6210 -2.5307 1.9906
-2.3433 -2.7381 4.6315
0.7779 -4.6889 0.8932
-1.6011 -4.7501 3.0517
-2.1586 -0.9178 0.1549
0.0000 0.0000 0.0000
-0.0298 -2.4224 3.0683
-1.8134 -4.7971 -0.1844
```

---

Record 8
Computed, not measured: an optimized crystal structure of HfCu2Pt8 at the PBE level of DFT.

Summary:
Symmetry: C2/m, No. 12
Energy of formation from the pure elements (eV per atom): -0.444

The structure in POSCAR format:
```
HfCu2Pt8
1.0
-2.8221 1.7774 2.1706
-1.7585 -5.5780 2.2813
6.3802 1.6102 3.3290
Pt Cu Hf
8 2 1
Cartesian
2.6023 1.6128 5.7103
3.0483 -1.0278 4.8048
-0.8027 -3.8031 2.0706
0.7596 -1.8284 6.1323
3.0030 1.1247 2.9833
-1.2487 -1.1626 2.9761
1.0400 -0.3619 1.6486
-1.2034 -3.3150 4.7975
1.1308 -2.4105 3.4441
0.6689 0.2202 4.3368
-1.4110 0.8887 1.0853
```

---

Record 9
Computed, not measured: an optimized crystal structure of Hf3CuPt at the PBE level of DFT.

Summary:
Polymorph energy (0 for the lowest one) (eV/atom): 0.889
Symmetry: Pm-3m, No. 221
Energy of formation from the pure elements (eV per atom): 0.433

The structure in POSCAR format:
```
Hf3CuPt
1.0
4.7556 0.0000 0.0000
0.0000 4.7556 0.0000
0.0000 0.0000 4.7556
Cu Hf Pt
1 3 1
Cartesian
0.0000 0.0000 0.0000
2.3778 0.0000 0.0000
0.0000 0.0000 2.3778
0.0000 2.3778 0.0000
2.3778 2.3778 2.3778
```

---

Record 10
Computed, not measured: an optimized crystal structure of Hf3Cu2Pt3 at the PBE level of DFT.

Summary:
Symmetry: C2/m, No. 12
Energy of formation from the pure elements (eV per atom): -0.720

The structure in POSCAR format:
```
Hf3Cu2Pt3
1.0
3.7721 -0.0002 0.7960
-0.1868 4.0917 0.8782
0.1331 0.2677 8.7152
Cu Pt Hf
2 3 3
Cartesian
0.9529 1.1394 4.8201
2.7655 3.2198 5.5693
2.4484 0.7312 7.0678
1.7926 2.0458 0.8371
1.2700 3.6280 3.3217
0.0000 0.0000 0.0000
3.2253 1.5618 3.3877
0.4931 2.7975 7.0017
```

---

Record 11
Computed, not measured: an optimized crystal structure of HfCu2Pt2 at the PBE level of DFT.

Summary:
Polymorph energy (0 for the lowest one) (eV/atom): 0.000
Symmetry: C2/m, No. 12
Energy of formation from the pure elements (eV per atom): -0.617

The structure in POSCAR format:
```
HfCu2Pt2
1.0
3.9088 0.0000 0.0000
1.9544 4.3511 -0.0943
1.9544 0.1779 4.4640
Hf Pt Cu
1 2 2
Cartesian
0.0000 0.0000 0.0000
3.9088 1.8259 3.4984
3.9088 2.7031 0.8713
5.8632 3.5483 2.5622
1.9544 0.9807 1.8075
```

---

Record 12
Computed, not measured: an optimized crystal structure of HfCu2Pt2 at the PBE level of DFT.

Summary:
Polymorph energy (0 for the lowest one) (eV/atom): 0.015
Symmetry: C2/c, No. 15
Energy of formation from the pure elements (eV per atom): -0.602

The structure in POSCAR format:
```
HfCu2Pt2
1.0
-0.1589 -4.3515 -1.8964
1.2863 0.3243 5.0955
-7.2857 0.5983 -0.7625
Pt Hf Cu
4 2 4
Cartesian
-5.4374 0.1253 2.3044
-1.8516 -1.7370 2.0044
-4.3066 -1.6920 0.4321
-0.7209 -3.5542 0.1322
-5.5716 -2.4912 -1.8531
-1.8730 -1.2620 -0.8058
-3.1647 -3.7640 -0.9971
-2.9936 0.3351 3.4336
-6.7020 -0.5735 -0.1182
0.5437 -2.8554 2.5548
```

---

Please write out number 5 again, unchanged.
Computed, not measured: an optimized crystal structure of Pr2HfCuSe5 at the PBE level of DFT.

Summary:
Formation energy from raw total energies (eV per atom): -1.4297
Symmetry: Cmc2_1, No. 36

The structure in POSCAR format:
```
Pr2HfCuSe5
1.0
3.9912 0.0000 0.0000
-1.9956 8.8367 0.0000
0.0000 0.0000 12.0704
Se Pr Hf Cu
10 4 2 2
Cartesian
0.0000 8.7985 9.3409
0.0000 6.1427 0.0861
0.0000 5.3656 4.3211
1.9956 0.0381 3.3057
0.0000 5.1217 8.0633
1.9956 8.0319 6.6464
1.9956 3.7149 2.0282
0.0000 0.8048 0.6112
1.9956 3.4710 10.3563
1.9956 2.6939 6.1213
1.9956 6.8071 2.3492
0.0000 2.2117 3.7886
0.0000 2.0296 8.3844
1.9956 6.6250 9.8238
1.9956 5.5032 6.2146
0.0000 3.3334 0.1794
0.0000 7.6020 5.3464
1.9956 1.2346 11.3816
```

---

What did the fourth record say?
Computed, not measured: an optimized crystal structure of Pr2HfCuS5 at the PBE level of DFT.

Summary:
Formation energy from raw total energies (eV per atom): -1.6207
Symmetry: Cmc2_1, No. 36

The structure in POSCAR format:
```
Pr2HfCuS5
1.0
3.8278 0.0000 0.0000
-1.9139 8.3448 0.0000
0.0000 0.0000 11.6743
S Hf Pr Cu
10 2 4 2
Cartesian
1.9139 3.4563 1.9554
0.0000 8.2829 8.9893
0.0000 5.1092 4.2364
1.9139 7.6156 6.3587
0.0000 4.8885 7.7925
1.9139 0.0619 3.1521
1.9139 3.2356 10.0735
1.9139 2.5482 5.9476
0.0000 5.7966 0.1105
0.0000 0.7292 0.5215
1.9139 5.1925 6.0267
0.0000 3.1523 0.1896
0.0000 2.0956 3.7332
0.0000 1.9216 8.1004
1.9139 6.4232 2.2633
1.9139 6.2492 9.5704
0.0000 7.2985 5.1315
1.9139 1.0462 10.9686
```